This record from the Alexandria database describes a relaxed structure of Ba2VI5O17. The functional is PBE+U.

Values from the calculation:
Fermi-level density of states = 0.00 states/eV/f.u.
Crystal system = monoclinic
VASP energy = -5.18 eV per atom

```
Ba2VI5O17
1.0
-10.190 6.807 31.551
-6.631 -2.365 -1.631
-1.291 -7.460 1.193
Ba I O V
8 20 68 4
direct
0.003 0.171 0.186
0.497 0.671 0.186
0.688 0.009 0.375
0.997 0.829 0.814
0.188 0.491 0.625
0.812 0.509 0.375
0.312 0.991 0.625
0.503 0.329 0.814
0.547 0.052 0.399
0.453 0.948 0.601
0.603 0.578 0.440
0.047 0.448 0.601
0.198 0.910 0.906
0.698 0.590 0.094
0.615 0.988 0.873
0.785 0.854 0.717
0.215 0.146 0.283
0.103 0.922 0.560
0.302 0.410 0.906
0.397 0.422 0.560
0.115 0.512 0.127
0.885 0.488 0.873
0.802 0.090 0.094
0.285 0.646 0.283
0.715 0.354 0.717
0.385 0.012 0.127
0.953 0.552 0.399
0.897 0.078 0.440
0.413 0.748 0.706
0.264 0.034 0.326
0.912 0.164 0.185
0.270 0.558 0.696
0.053 0.947 0.471
0.730 0.442 0.304
0.230 0.058 0.696
0.236 0.534 0.326
0.048 0.972 0.030
0.991 0.722 0.415
0.386 0.166 0.584
0.531 0.035 0.179
0.770 0.942 0.304
0.934 0.558 0.757
0.878 0.234 0.855
0.109 0.163 0.090
0.452 0.472 0.030
0.509 0.222 0.415
0.114 0.666 0.584
0.009 0.278 0.585
0.412 0.336 0.815
0.587 0.252 0.294
0.588 0.664 0.185
0.184 0.915 0.377
0.886 0.334 0.416
0.391 0.663 0.090
0.787 0.777 0.981
0.764 0.466 0.674
0.122 0.766 0.145
0.622 0.734 0.855
0.031 0.465 0.821
0.684 0.585 0.623
0.818 0.306 0.138
0.913 0.752 0.294
0.148 0.371 0.329
0.316 0.415 0.377
0.155 0.080 0.809
0.434 0.942 0.243
0.553 0.553 0.529
0.947 0.053 0.529
0.891 0.837 0.910
0.182 0.694 0.862
0.287 0.723 0.019
0.066 0.442 0.243
0.318 0.194 0.862
0.614 0.834 0.416
0.088 0.836 0.815
0.378 0.266 0.145
0.447 0.447 0.471
0.816 0.085 0.623
0.969 0.535 0.179
0.566 0.058 0.757
0.655 0.420 0.191
0.845 0.920 0.191
0.469 0.965 0.821
0.852 0.629 0.671
0.682 0.806 0.138
0.352 0.871 0.329
0.491 0.778 0.585
0.548 0.528 0.970
0.648 0.129 0.671
0.713 0.277 0.981
0.609 0.337 0.910
0.952 0.028 0.970
0.736 0.966 0.674
0.213 0.223 0.019
0.087 0.248 0.706
0.345 0.580 0.809
0.404 0.525 0.973
0.596 0.475 0.027
0.096 0.025 0.973
0.904 0.975 0.027
```

=====

This record from the Alexandria database describes a relaxed structure of BaV2IO8. The functional is PBE+U.

Values from the calculation:
Fermi-level density of states = 3.83 states/eV/f.u.
Crystal system = monoclinic
VASP energy = -6.44 eV per atom

```
BaV2IO8
1.0
-2.360 4.632 1.101
-3.532 -0.241 3.963
5.530 2.085 5.813
O Ba V I
8 1 2 1
direct
0.271 0.779 0.212
0.221 0.729 0.788
0.299 0.299 0.588
0.777 0.777 0.064
0.779 0.271 0.212
0.701 0.701 0.412
0.729 0.221 0.788
0.223 0.223 0.936
0.000 0.000 0.500
0.366 0.366 0.773
0.634 0.634 0.227
0.000 0.000 0.000
```

=====

This record from the Alexandria database describes a relaxed structure of BaVIO6. The functional is PBE+U.

Values from the calculation:
Fermi-level density of states = 0.00 states/eV/f.u.
Crystal system = triclinic
VASP energy = -6.12 eV per atom

```
BaVIO6
1.0
-5.243 0.326 -3.054
-4.499 -2.565 1.275
-2.177 4.365 3.081
I O Ba V
1 6 1 1
direct
0.303 0.360 0.550
0.555 0.410 0.670
0.045 0.559 0.792
0.407 0.970 0.678
0.458 0.650 0.218
0.968 0.341 0.376
0.667 0.966 0.311
0.960 0.079 0.989
0.637 0.666 0.417
```

=====

This record from the Alexandria database describes a relaxed structure of BaWIO2. The functional is PBE+U.

Values from the calculation:
Fermi-level density of states = 1.01 states/eV/f.u.
Crystal system = tetragonal
VASP energy = -4.05 eV per atom
E above lowest polymorph = 1164.1 meV/atom

```
BaWIO2
1.0
4.548 0.000 0.000
0.000 4.548 0.000
0.000 0.000 7.195
O W I Ba
2 1 1 1
direct
0.500 0.000 0.000
0.000 0.500 0.000
0.500 0.500 0.500
0.000 0.000 0.500
0.000 0.000 0.000
```